A plane-wave DFT calculation with PBE-GGA was carried out for an optimized crystal structure of TcAsRh3.

## Properties
Its calculated volume is 20.22 Å³ per atom. The energy above the most stable polymorph in this dataset comes out at 436.9 meV per atom.

Geometry as CIF:
```
data_TcAsRh3
_chemical_formula_sum 'Tc1 As1 Rh3'
_space_group_name_H-M_alt 'P m -3 m'
_space_group_IT_number 221
_space_group_name_Hall '-P 4 2 3'
_cell_length_a 4.658
_cell_length_b 4.658
_cell_length_c 4.658
_cell_angle_alpha 90.00
_cell_angle_beta 90.00
_cell_angle_gamma 90.00
loop_
_atom_site_label
_atom_site_fract_x
_atom_site_fract_y
_atom_site_fract_z
Tc1 0.000 0.000 0.000
As1 0.500 0.500 0.500
Rh1 0.000 0.000 0.500
```